Record 1
Below is an optimized crystal structure of NdErBi, with properties calculated at the PBE level.

Structure (CIF):
```
data_NdErBi
_cell_length_a 12.2862
_cell_length_b 4.2580
_cell_length_c 8.5600
_cell_angle_alpha 90.00
_cell_angle_beta 120.02
_cell_angle_gamma 90.00
_space_group_name_H-M_alt 'C 1 2/m 1'
_space_group_IT_number 12
loop_
_space_group_symop_operation_xyz
'x,y,z'
'-x,-y,-z'
'-x,y,-z'
'x,-y,z'
'x+1/2,y+1/2,z'
'-x+1/2,-y+1/2,-z'
'-x+1/2,y+1/2,-z'
'x+1/2,-y+1/2,z'
loop_
_atom_site_label
_atom_site_type_symbol
_atom_site_fract_x
_atom_site_fract_y
_atom_site_fract_z
_atom_site_occupancy
Nd1 Nd 0.0702 0.0000 0.3373 1
Er1 Er 0.1509 0.5000 0.0537 1
Bi1 Bi 0.1577 0.5000 0.6852 1
```

## Properties
The formation energy comes out at -0.52 eV/atom. The spin magnetization is 0.0 μB per cell.

Record 2
Below is an optimized crystal structure of Na2PuScTe4, with properties calculated at the PBE level.

Structure (CIF):
```
data_Na2PuScTe4
_cell_length_a 7.5820
_cell_length_b 4.3713
_cell_length_c 7.9186
_cell_angle_alpha 90.00
_cell_angle_beta 108.61
_cell_angle_gamma 90.00
_space_group_name_H-M_alt 'P 1 2/m 1'
_space_group_IT_number 10
loop_
_space_group_symop_operation_xyz
'x,y,z'
'-x,-y,-z'
'-x,y,-z'
'x,-y,z'
loop_
_atom_site_label
_atom_site_type_symbol
_atom_site_fract_x
_atom_site_fract_y
_atom_site_fract_z
_atom_site_occupancy
Na1 Na 0.0000 0.0000 0.0000 1
Na2 Na 0.5000 0.5000 0.0000 1
Pu1 Pu 0.0000 0.5000 0.5000 1
Sc1 Sc 0.5000 0.0000 0.5000 1
Te1 Te 0.2570 0.0000 0.7300 1
Te2 Te 0.2719 0.5000 0.2764 1
```

## Properties
The spin magnetization is 5.0 μB per cell. Its energy relative to the elements, uncorrected is -25.23 kcal/mol of atoms.

Record 3
Below is an optimized crystal structure of ZrBePb2, with properties calculated at the PBE level.

Structure (CIF):
```
data_ZrBePb2
_cell_length_a 7.2828
_cell_length_b 7.2828
_cell_length_c 7.2828
_cell_angle_alpha 90.00
_cell_angle_beta 90.00
_cell_angle_gamma 90.00
_space_group_name_H-M_alt 'F -4 3 m'
_space_group_IT_number 216
_space_group_name_Hall 'F -4 2 3'
loop_
_atom_site_label
_atom_site_type_symbol
_atom_site_fract_x
_atom_site_fract_y
_atom_site_fract_z
_atom_site_occupancy
Zr1 Zr 0.0000 0.0000 0.0000 1
Be1 Be 0.2500 0.2500 0.7500 1
Pb1 Pb 0.0000 0.0000 0.5000 1
Pb2 Pb 0.2500 0.2500 0.2500 1
```

## Properties
The formation energy comes out at 0.64 eV/atom. The spin magnetization is 2.0 μB per cell.

Record 4
Below is an optimized crystal structure of La2PrHoTm5, with properties calculated at the PBE level.

Structure (CIF):
```
data_La2PrHoTm5
_cell_length_a 8.5862
_cell_length_b 8.5862
_cell_length_c 15.7745
_cell_angle_alpha 90.00
_cell_angle_beta 90.00
_cell_angle_gamma 90.00
_space_group_name_H-M_alt 'I 4/m c m'
_space_group_IT_number 140
_space_group_name_Hall '-I 4 2c'
loop_
_atom_site_label
_atom_site_type_symbol
_atom_site_fract_x
_atom_site_fract_y
_atom_site_fract_z
_atom_site_occupancy
La1 La 0.1183 0.3817 0.0000 1
Pr1 Pr 0.0000 0.5000 0.2500 1
Ho1 Ho 0.0000 0.0000 0.2500 1
Tm1 Tm 0.0000 0.0000 0.0000 1
Tm2 Tm 0.2140 0.2860 0.3584 1
```

## Properties
The formation energy comes out at 0.25 eV/atom. The spin magnetization is 0.0 μB per cell.

Record 5
Below is an optimized crystal structure of TlZnGa2, with properties calculated at the PBE level.

Structure (CIF):
```
data_TlZnGa2
_cell_length_a 3.4510
_cell_length_b 3.4510
_cell_length_c 7.1791
_cell_angle_alpha 90.00
_cell_angle_beta 90.00
_cell_angle_gamma 90.00
_space_group_name_H-M_alt 'P 4/m m m'
_space_group_IT_number 123
_space_group_name_Hall '-P 4 2'
loop_
_atom_site_label
_atom_site_type_symbol
_atom_site_fract_x
_atom_site_fract_y
_atom_site_fract_z
_atom_site_occupancy
Tl1 Tl 0.0000 0.0000 0.0000 1
Zn1 Zn 0.0000 0.0000 0.5000 1
Ga1 Ga 0.5000 0.5000 0.2941 1
```

## Properties
The formation energy comes out at 0.09 eV/atom. The spin magnetization is 0.0 μB per cell. The energy above the most stable polymorph in this dataset comes out at 36.1 meV per atom.

Record 6
Below is an optimized crystal structure of Tb2Co7B3, with properties calculated at the PBE level.

Structure (CIF):
```
data_Tb2Co7B3
_cell_length_a 5.0309
_cell_length_b 5.0309
_cell_length_c 12.7593
_cell_angle_alpha 90.00
_cell_angle_beta 90.00
_cell_angle_gamma 120.00
_space_group_name_H-M_alt 'P 6/m m m'
_space_group_IT_number 191
_space_group_name_Hall '-P 6 2'
loop_
_atom_site_label
_atom_site_type_symbol
_atom_site_fract_x
_atom_site_fract_y
_atom_site_fract_z
_atom_site_occupancy
Tb1 Tb 0.0000 0.0000 0.0000 1
Tb2 Tb 0.0000 0.0000 0.2391 1
Tb3 Tb 0.0000 0.0000 0.5000 1
Co1 Co 0.0000 0.5000 0.1156 1
Co2 Co 0.0000 0.5000 0.3452 1
Co3 Co 0.3333 0.6667 0.5000 1
B1 B 0.3333 0.6667 0.0000 1
B2 B 0.3333 0.6667 0.2315 1
```

## Properties
The formation energy comes out at -0.39 eV/atom. The spin magnetization is 7.6 μB per cell.

Record 7
Below is an optimized crystal structure of ScRe2O2, with properties calculated at the PBE level.

Structure (CIF):
```
data_ScRe2O2
_cell_length_a 3.8138
_cell_length_b 3.8138
_cell_length_c 9.3454
_cell_angle_alpha 90.00
_cell_angle_beta 90.00
_cell_angle_gamma 90.00
_space_group_name_H-M_alt 'I 4/m m m'
_space_group_IT_number 139
_space_group_name_Hall '-I 4 2'
loop_
_atom_site_label
_atom_site_type_symbol
_atom_site_fract_x
_atom_site_fract_y
_atom_site_fract_z
_atom_site_occupancy
Sc1 Sc 0.0000 0.0000 0.0000 1
Re1 Re 0.0000 0.0000 0.3788 1
O1 O 0.0000 0.5000 0.2500 1
```

## Properties
The spin magnetization is 0.0 μB per cell. The energy above the most stable polymorph in this dataset comes out at 0.0 meV per atom. Its energy relative to the elements, uncorrected is -8.48 kcal/mol of atoms.

Record 8
Below is an optimized crystal structure of CsSi3Pb, with properties calculated at the PBE level.

Structure (CIF):
```
data_CsSi3Pb
_cell_length_a 5.5682
_cell_length_b 5.5682
_cell_length_c 5.5682
_cell_angle_alpha 90.00
_cell_angle_beta 90.00
_cell_angle_gamma 90.00
_space_group_name_H-M_alt 'P m -3 m'
_space_group_IT_number 221
_space_group_name_Hall '-P 4 2 3'
loop_
_atom_site_label
_atom_site_type_symbol
_atom_site_fract_x
_atom_site_fract_y
_atom_site_fract_z
_atom_site_occupancy
Cs1 Cs 0.0000 0.0000 0.0000 1
Si1 Si 0.0000 0.5000 0.5000 1
Pb1 Pb 0.5000 0.5000 0.5000 1
```

## Properties
The spin magnetization is 0.0 μB per cell. The energy above the most stable polymorph in this dataset comes out at 0.0 meV per atom. Its energy relative to the elements, uncorrected is 25.25 kcal/mol of atoms.

Record 9
Below is an optimized crystal structure of ZrTi2Bi, with properties calculated at the PBE level.

Structure (CIF):
```
data_ZrTi2Bi
_cell_length_a 3.6094
_cell_length_b 3.6094
_cell_length_c 6.2920
_cell_angle_alpha 90.00
_cell_angle_beta 90.00
_cell_angle_gamma 90.00
_space_group_name_H-M_alt 'P 4/m m m'
_space_group_IT_number 123
_space_group_name_Hall '-P 4 2'
loop_
_atom_site_label
_atom_site_type_symbol
_atom_site_fract_x
_atom_site_fract_y
_atom_site_fract_z
_atom_site_occupancy
Zr1 Zr 0.0000 0.0000 0.0000 1
Ti1 Ti 0.5000 0.5000 0.2486 1
Bi1 Bi 0.0000 0.0000 0.5000 1
```

## Properties
The formation energy comes out at -0.12 eV/atom. The spin magnetization is 0.0 μB per cell.

What did the ninth record say?
Below is an optimized crystal structure of ZrTi2Bi, with properties calculated at the PBE level.

Structure (CIF):
```
data_ZrTi2Bi
_cell_length_a 3.6094
_cell_length_b 3.6094
_cell_length_c 6.2920
_cell_angle_alpha 90.00
_cell_angle_beta 90.00
_cell_angle_gamma 90.00
_space_group_name_H-M_alt 'P 4/m m m'
_space_group_IT_number 123
_space_group_name_Hall '-P 4 2'
loop_
_atom_site_label
_atom_site_type_symbol
_atom_site_fract_x
_atom_site_fract_y
_atom_site_fract_z
_atom_site_occupancy
Zr1 Zr 0.0000 0.0000 0.0000 1
Ti1 Ti 0.5000 0.5000 0.2486 1
Bi1 Bi 0.0000 0.0000 0.5000 1
```

## Properties
The formation energy comes out at -0.12 eV/atom. The spin magnetization is 0.0 μB per cell.

Copy entry 8 word for word.
Below is an optimized crystal structure of CsSi3Pb, with properties calculated at the PBE level.

Structure (CIF):
```
data_CsSi3Pb
_cell_length_a 5.5682
_cell_length_b 5.5682
_cell_length_c 5.5682
_cell_angle_alpha 90.00
_cell_angle_beta 90.00
_cell_angle_gamma 90.00
_space_group_name_H-M_alt 'P m -3 m'
_space_group_IT_number 221
_space_group_name_Hall '-P 4 2 3'
loop_
_atom_site_label
_atom_site_type_symbol
_atom_site_fract_x
_atom_site_fract_y
_atom_site_fract_z
_atom_site_occupancy
Cs1 Cs 0.0000 0.0000 0.0000 1
Si1 Si 0.0000 0.5000 0.5000 1
Pb1 Pb 0.5000 0.5000 0.5000 1
```

## Properties
The spin magnetization is 0.0 μB per cell. The energy above the most stable polymorph in this dataset comes out at 0.0 meV per atom. Its energy relative to the elements, uncorrected is 25.25 kcal/mol of atoms.